Run a
An optimized crystal structure of TlCdInPb. Source: Alexandria, functional PBE.

The total magnetic moment is 0.00 μB per atom. The crystal system is cubic. As for the density of states at the Fermi level: 1.89 states/eV per cell.

Cell lengths 5.4454, 5.4454, 5.4454 Å; angles 60.00, 60.00, 60.00 degrees
Element x y z (fractional)
Pb 0.5000 0.5000 0.5000
Tl 0.0000 0.0000 0.0000
Cd 0.2500 0.2500 0.2500
In 0.7500 0.7500 0.7500

***

Run b
An optimized crystal structure of TlCdInPb. Source: Alexandria, functional PBE.

The total magnetic moment is 0.00 μB per atom. The crystal system is monoclinic. As for the density of states at the Fermi level: 1.62 states/eV per cell.

Cell lengths 3.4887, 3.4887, 9.2414 Å; angles 90.02, 89.98, 90.03 degrees
Element x y z (fractional)
Tl 0.6461 0.3539 0.9876
Cd 0.1452 0.8548 0.2316
In 0.6460 0.3540 0.4569
Pb 0.1477 0.8523 0.7126

***

Most stable structure, least stable structure: run b, run a.